Entry 1:
# Ta2TcBr | Alexandria via LeMat-Bulk | PBE-GGA | optimized geometry
data_Ta2TcBr
_space_group_name_H-M_alt 'P 4 m m'
_space_group_IT_number 99
_space_group_name_Hall 'P 4 -2'
_cell_length_a 3.185
_cell_length_b 3.185
_cell_length_c 7.427
_cell_angle_alpha 90.00
_cell_angle_beta 90.00
_cell_angle_gamma 90.00
loop_
_atom_site_label
_atom_site_type_symbol
_atom_site_fract_x
_atom_site_fract_y
_atom_site_fract_z
Ta1 Ta 0.000 0.000 0.000
Ta2 Ta 0.500 0.500 0.245
Tc1 Tc 0.000 0.000 0.426
Br1 Br 0.500 0.500 0.744
# - magnetization (μB per cell) = 0.000
# - offset from the most stable computed form (meV/atom) = 178
# - energy relative to the elements, uncorrected (meV/atom) = 241

---

Entry 2:
# CaSiAu2 | Alexandria via LeMat-Bulk | PBE-GGA | optimized geometry
data_CaSiAu2
_space_group_name_H-M_alt 'P m m m'
_space_group_IT_number 47
_space_group_name_Hall '-P 2 2'
_cell_length_a 3.654
_cell_length_b 4.282
_cell_length_c 5.550
_cell_angle_alpha 90.00
_cell_angle_beta 90.00
_cell_angle_gamma 90.00
loop_
_atom_site_label
_atom_site_type_symbol
_atom_site_fract_x
_atom_site_fract_y
_atom_site_fract_z
Ca1 Ca 0.000 0.000 0.000
Si1 Si 0.500 0.000 0.500
Au1 Au 0.500 0.500 0.249
# - magnetization (μB per cell) = 0.000
# - energy relative to the elements, uncorrected (meV/atom) = -424

---

Entry 3:
# TaTcP2 | Alexandria via LeMat-Bulk | PBE-GGA | optimized geometry
data_TaTcP2
_space_group_name_H-M_alt 'R 3 m'
_space_group_IT_number 160
_space_group_name_Hall 'R 3 -2"'
_cell_length_a 3.6386
_cell_length_b 3.6386
_cell_length_c 16.2219
_cell_angle_alpha 90.00
_cell_angle_beta 90.00
_cell_angle_gamma 120.00
loop_
_atom_site_label
_atom_site_type_symbol
_atom_site_fract_x
_atom_site_fract_y
_atom_site_fract_z
Ta1 Ta 0.0000 0.0000 0.0000
Tc1 Tc 0.0000 0.0000 0.8133
P1 P 0.0000 0.0000 0.4240
P2 P 0.0000 0.0000 0.5755
# - magnetization (μB per cell) = 0.000
# - offset from the most stable computed form (meV/atom) = 230
# - energy relative to the elements (eV per atom) = -0.429

---

Entry 4:
# Y4TeSe | Alexandria via LeMat-Bulk | PBE-GGA | optimized geometry
data_Y4TeSe
_space_group_name_H-M_alt 'P 1 21/m 1'
_space_group_IT_number 11
_space_group_name_Hall '-P 2yb'
_cell_length_a 5.914
_cell_length_b 6.335
_cell_length_c 8.799
_cell_angle_alpha 90.00
_cell_angle_beta 97.99
_cell_angle_gamma 90.00
loop_
_atom_site_label
_atom_site_type_symbol
_atom_site_fract_x
_atom_site_fract_y
_atom_site_fract_z
Y1 Y 0.181 0.007 0.167
Y2 Y 0.255 0.750 0.516
Y3 Y 0.307 0.250 0.783
Te1 Te 0.328 0.750 0.877
Se1 Se 0.240 0.250 0.457
# - magnetization (μB per cell) = 0.000
# - offset from the most stable computed form (meV/atom) = 0
# - energy relative to the elements, uncorrected (meV/atom) = -900

---

Entry 5:
# VCrOs | Alexandria via LeMat-Bulk | PBE-GGA | optimized geometry
data_VCrOs
_space_group_name_H-M_alt 'P 3 m 1'
_space_group_IT_number 156
_space_group_name_Hall 'P 3 -2"'
_cell_length_a 4.1440
_cell_length_b 4.1440
_cell_length_c 2.6534
_cell_angle_alpha 90.00
_cell_angle_beta 90.00
_cell_angle_gamma 120.00
loop_
_atom_site_label
_atom_site_type_symbol
_atom_site_fract_x
_atom_site_fract_y
_atom_site_fract_z
V1 V 0.0000 0.0000 0.0000
Cr1 Cr 0.3333 0.6667 0.2899
Os1 Os 0.6667 0.3333 0.6582
# - magnetization (μB per cell) = 0.001
# - offset from the most stable computed form (meV/atom) = 40
# - energy relative to the elements (eV per atom) = -0.098

---

Entry 6:
# BaCa2Re | Alexandria via LeMat-Bulk | PBE-GGA | optimized geometry
data_BaCa2Re
_space_group_name_H-M_alt 'I 4/m m m'
_space_group_IT_number 139
_space_group_name_Hall '-I 4 2'
_cell_length_a 5.023
_cell_length_b 5.023
_cell_length_c 9.172
_cell_angle_alpha 90.00
_cell_angle_beta 90.00
_cell_angle_gamma 90.00
loop_
_atom_site_label
_atom_site_type_symbol
_atom_site_fract_x
_atom_site_fract_y
_atom_site_fract_z
Ba1 Ba 0.000 0.000 0.000
Ca1 Ca 0.000 0.500 0.250
Re1 Re 0.000 0.000 0.500
# - magnetization (μB per cell) = 1.489
# - offset from the most stable computed form (meV/atom) = 147
# - energy relative to the elements (eV per atom) = 0.860